Version w
PBE NaTc2C2, relaxed; calculated volume = 16.27 Å³/atom; symmetry = No. 139
1.0
-2.882 2.230 1.394
-1.424 0.415 -3.609
-5.182 -3.026 -0.413
C Tc Na
2 2 1
Cartesian
-3.313 -0.344 -0.841 C
-6.174 -0.037 -1.787 C
-5.108 0.263 -0.063 Tc
-4.379 -0.644 -2.565 Tc
0.000 0.000 0.000 Na

***

Version x
PBE NaTc2C2, relaxed; calculated volume = 10.67 Å³/atom; symmetry = No. 127
1.0
6.143 0.000 0.000
0.000 6.143 0.000
0.000 0.000 2.828
C Tc Na
4 4 2
Cartesian
2.220 5.291 0.000 C
3.923 0.852 0.000 C
5.291 3.923 0.000 C
0.852 2.220 0.000 C
5.236 2.164 1.414 Tc
0.908 3.979 1.414 Tc
3.979 5.236 1.414 Tc
2.164 0.908 1.414 Tc
3.072 3.072 0.000 Na
0.000 0.000 0.000 Na

***

Most favorable structure: version w. The second most favorable one is 462 meV/atom above it.

***

Version w
PBE NaY2TcC, relaxed; calculated volume = 21.74 Å³/atom; symmetry = No. 123
1.0
-2.948 3.863 0.290
-2.627 -1.755 -3.326
-2.689 -2.304 3.340
Y Tc C Na
2 1 1 1
Cartesian
-1.474 1.931 0.145 Y
-1.345 -1.152 1.670 Y
-4.132 -0.098 0.152 Tc
0.000 0.000 0.000 C
-1.314 -0.878 -1.663 Na

***

Version x
PBE NaY2TcC, relaxed; calculated volume = 20.87 Å³/atom; symmetry = No. 123
1.0
-3.205 -1.767 3.544
3.810 -0.133 3.379
-0.852 3.769 1.109
C Tc Y Na
1 1 2 1
Cartesian
0.000 0.000 0.000 C
-0.426 1.885 0.554 Tc
1.905 -0.067 1.690 Y
-1.603 -0.883 1.772 Y
-0.123 0.935 4.016 Na

***

Most favorable structure: version x. The second most favorable one is 632 meV/atom above it.

***

Version w
PBE NaTeC3, relaxed; calculated volume = 16.89 Å³/atom; symmetry = No. 221
1.0
4.387 0.000 0.000
0.000 4.387 0.000
0.000 0.000 4.387
Na Te C
1 1 3
Cartesian
0.000 0.000 0.000 Na
2.194 2.194 2.194 Te
0.000 0.000 2.194 C
2.194 0.000 0.000 C
0.000 2.194 0.000 C

***

Version x
PBE NaTeC3, relaxed; calculated volume = 15.61 Å³/atom; symmetry = No. 221
1.0
-2.043 -3.692 0.680
3.155 -1.269 2.588
-2.034 1.739 3.332
Te C Na
1 3 1
Cartesian
0.000 0.000 0.000 Te
-1.017 0.869 1.666 C
-1.021 -1.846 0.340 C
1.578 -0.635 1.294 C
-0.461 -1.611 3.300 Na

***

Most favorable structure: version x. The second most favorable one is 930 meV/atom above it.

***

Version w
PBE NaTi3C, relaxed; calculated volume = 18.83 Å³/atom; symmetry = No. 221
1.0
-1.770 4.187 -0.182
-0.843 -0.162 4.467
4.105 1.772 0.839
Na C Ti
1 1 3
Cartesian
0.000 0.000 0.000 Na
0.746 2.898 2.562 C
-0.885 2.093 -0.091 Ti
2.052 0.886 0.419 Ti
-0.421 -0.081 2.234 Ti

***

Version x
PBE NaTi3C, relaxed; calculated volume = 16.10 Å³/atom; symmetry = No. 221
1.0
-0.848 0.158 4.230
-1.844 -3.898 -0.224
3.811 -1.851 0.833
Ti C Na
3 1 1
Cartesian
-0.424 0.079 2.115 Ti
1.905 -0.925 0.417 Ti
-0.922 -1.949 -0.112 Ti
0.000 0.000 0.000 C
0.559 -2.795 2.420 Na

***

Most favorable structure: version x. The second most favorable one is 2580 meV/atom above it.

***

Version w
PBE Na3TiC, relaxed; calculated volume = 41.44 Å³/atom; symmetry = No. 221
1.0
5.918 0.000 0.000
0.000 5.918 0.000
0.000 0.000 5.918
Na C Ti
3 1 1
Cartesian
0.000 0.000 2.959 Na
0.000 2.959 0.000 Na
2.959 0.000 0.000 Na
2.959 2.959 2.959 C
0.000 0.000 0.000 Ti

***

Version x
PBE Na3TiC, relaxed; calculated volume = 23.00 Å³/atom; symmetry = No. 221
1.0
4.863 0.000 0.000
0.000 4.863 0.000
0.000 0.000 4.863
Na C Ti
3 1 1
Cartesian
2.432 0.000 0.000 Na
0.000 2.432 0.000 Na
0.000 0.000 2.432 Na
0.000 0.000 0.000 C
2.432 2.432 2.432 Ti

***

Most favorable structure: version x. The second most favorable one is 701 meV/atom above it.

***

Version w
PBE Na2TlC, relaxed; calculated volume = 20.93 Å³/atom; symmetry = No. 122
1.0
-1.415 -3.620 -1.460
-0.825 -1.241 3.875
-10.048 1.339 0.513
C Na Tl
2 4 2
Cartesian
-1.120 -2.430 1.207 C
-5.996 -1.166 2.798 C
-8.419 -0.883 1.493 Na
-3.425 -1.894 -0.224 Na
-9.453 -3.184 2.295 Na
-3.279 -1.082 2.291 Na
-6.291 -2.356 0.130 Tl
0.000 0.000 0.000 Tl

***

Version x
PBE Na2TlC, relaxed; calculated volume = 20.67 Å³/atom; symmetry = No. 225
1.0
-1.421 -0.221 4.673
-2.466 3.727 1.985
-4.739 -0.509 1.093
Na C Tl
2 1 1
Cartesian
-2.156 0.749 1.938 Na
-6.469 2.247 5.814 Na
0.000 0.000 0.000 C
-4.312 1.498 3.876 Tl

***

Most favorable structure: version x. The second most favorable one is 96 meV/atom above it.

***

Version w
PBE NaTlC2, relaxed; calculated volume = 18.46 Å³/atom; symmetry = No. 122
1.0
4.491 0.000 0.000
0.000 4.491 0.000
2.245 2.245 7.325
Tl Na C
2 2 4
Cartesian
4.491 2.245 3.663 Tl
0.000 0.000 0.000 Tl
2.245 4.491 3.663 Na
2.245 2.245 0.000 Na
3.368 2.965 5.494 C
3.770 1.123 1.831 C
5.613 6.016 5.494 C
0.720 3.368 1.831 C

***

Version x
PBE NaTlC2, relaxed; calculated volume = 14.28 Å³/atom; symmetry = No. 225
1.0
-1.972 -0.863 3.749
-0.812 3.192 2.801
-4.065 1.317 0.657
Na C Tl
1 2 1
Cartesian
0.000 0.000 0.000 Na
-1.712 0.911 1.802 C
-5.137 2.734 5.405 C
-3.424 1.823 3.603 Tl

***

Most favorable structure: version x. The second most favorable one is 27 meV/atom above it.

***

Version w
PBE NaTl2C, relaxed; calculated volume = 21.39 Å³/atom; symmetry = No. 225
1.0
0.000 3.497 3.497
3.497 0.000 3.497
3.497 3.497 0.000
Tl C Na
2 1 1
Cartesian
1.749 1.749 1.749 Tl
5.246 5.246 5.246 Tl
0.000 0.000 0.000 C
3.497 3.497 3.497 Na

***

Version x
PBE NaTl2C, relaxed; calculated volume = 23.38 Å³/atom; symmetry = No. 122
1.0
8.417 0.000 0.000
0.000 8.417 0.000
4.209 4.209 2.640
Na Tl C
2 4 2
Cartesian
8.417 4.209 1.320 Na
0.000 0.000 0.000 Na
6.313 7.255 1.980 Tl
3.047 6.313 0.660 Tl
5.370 2.104 0.660 Tl
10.522 9.579 1.980 Tl
4.209 8.417 1.320 C
4.209 4.209 0.000 C

***

Most favorable structure: version x. The second most favorable one is 289 meV/atom above it.

***

Version w
PBE NaTm2C, relaxed; calculated volume = 22.60 Å³/atom; symmetry = No. 123
1.0
-0.714 1.487 -2.675
-2.067 -2.260 -0.704
-6.574 4.660 4.345
Tm C Na
2 1 1
Cartesian
-3.955 2.804 2.614 Tm
-5.906 4.186 3.903 Tm
-6.321 3.108 1.570 C
-3.034 0.778 -0.603 Na

***

Version x
PBE NaTm2C, relaxed; calculated volume = 25.91 Å³/atom; symmetry = No. 166
1.0
-2.243 0.385 -2.664
-0.388 -2.571 -2.349
-7.983 -4.609 3.751
Na Tm C
1 2 1
Cartesian
0.000 0.000 0.000 Na
-5.390 -3.193 1.773 Tm
-5.225 -3.602 -3.035 Tm
-5.307 -3.398 -0.631 C

***

Most favorable structure: version x. The second most favorable one is 444 meV/atom above it.

***

Version w
PBE NaV3C, relaxed; calculated volume = 15.96 Å³/atom; symmetry = No. 221
1.0
-0.557 -3.993 1.509
3.369 0.524 2.629
-2.622 1.521 3.057
Na C V
1 1 3
Cartesian
0.000 0.000 0.000 Na
0.095 -0.974 3.597 C
1.684 0.262 1.314 V
-1.311 0.760 1.528 V
-0.278 -1.997 0.755 V

***

Version x
PBE NaV3C, relaxed; calculated volume = 13.70 Å³/atom; symmetry = No. 221
1.0
4.091 0.000 0.000
0.000 4.091 0.000
0.000 0.000 4.091
C Na V
1 1 3
Cartesian
0.000 0.000 0.000 C
2.046 2.046 2.046 Na
0.000 2.046 0.000 V
2.046 0.000 0.000 V
0.000 0.000 2.046 V

***

Most favorable structure: version x. The second most favorable one is 2871 meV/atom above it.

***

Version w
PBE NaWC2, relaxed; calculated volume = 17.96 Å³/atom; symmetry = No. 122
1.0
5.535 0.000 0.000
0.000 5.535 0.000
2.768 2.768 4.690
C Na W
4 2 2
Cartesian
0.722 4.152 1.172 C
4.152 3.489 3.517 C
4.814 1.384 1.172 C
6.919 7.581 3.517 C
2.768 5.535 2.345 Na
2.768 2.768 0.000 Na
0.000 0.000 0.000 W
5.535 2.768 2.345 W

***

Version x
PBE NaWC2, relaxed; calculated volume = 10.44 Å³/atom; symmetry = No. 225
1.0
1.243 0.356 3.673
-1.971 -1.701 2.896
1.520 -3.072 1.847
W C Na
1 2 1
Cartesian
0.396 -2.209 4.208 W
0.594 -3.313 6.312 C
0.198 -1.104 2.104 C
0.000 0.000 0.000 Na

***

Most favorable structure: version w. The second most favorable one is 1003 meV/atom above it.

***

Version w
PBE NaW3C, relaxed; calculated volume = 18.18 Å³/atom; symmetry = No. 221
1.0
-3.483 -2.529 1.300
1.445 0.196 4.253
-2.449 3.712 0.662
W Na C
3 1 1
Cartesian
-1.225 1.856 0.331 W
-1.741 -1.265 0.650 W
0.723 0.098 2.127 W
0.000 0.000 0.000 Na
-2.243 0.689 3.107 C

***

Version x
PBE NaW3C, relaxed; calculated volume = 15.06 Å³/atom; symmetry = No. 221
1.0
-2.278 -3.534 0.392
2.814 -1.507 2.764
-2.173 1.753 3.168
W C Na
3 1 1
Cartesian
-1.139 -1.767 0.196 W
-1.087 0.876 1.584 W
1.407 -0.754 1.382 W
0.000 0.000 0.000 C
-0.819 -1.645 3.162 Na

***

Most favorable structure: version x. The second most favorable one is 3512 meV/atom above it.

***

Version w
PBE NaWC3, relaxed; calculated volume = 14.36 Å³/atom; symmetry = No. 221
1.0
4.156 0.000 0.000
0.000 4.156 0.000
0.000 0.000 4.156
W C Na
1 3 1
Cartesian
0.000 0.000 0.000 W
2.078 0.000 0.000 C
0.000 0.000 2.078 C
0.000 2.078 0.000 C
2.078 2.078 2.078 Na

***

Version x
PBE NaWC3, relaxed; calculated volume = 12.15 Å³/atom; symmetry = No. 221
1.0
3.931 0.000 0.000
0.000 3.931 0.000
0.000 0.000 3.931
C Na W
3 1 1
Cartesian
0.000 1.965 0.000 C
0.000 0.000 1.965 C
1.965 0.000 0.000 C
0.000 0.000 0.000 Na
1.965 1.965 1.965 W

***

Most favorable structure: version w. The second most favorable one is 2403 meV/atom above it.

***

Version w
PBE NaYC3, relaxed; calculated volume = 15.03 Å³/atom; symmetry = No. 221
1.0
-2.433 -0.080 3.448
2.633 -2.768 1.794
2.227 3.185 1.645
C Na Y
3 1 1
Cartesian
-1.216 -0.040 1.724 C
1.316 -1.384 0.897 C
1.114 1.592 0.823 C
0.000 0.000 0.000 Na
1.214 0.169 3.443 Y

***

Version x
PBE NaYC3, relaxed; calculated volume = 19.99 Å³/atom; symmetry = No. 221
1.0
-3.767 -0.349 2.688
2.420 -2.508 3.065
1.222 3.889 2.217
C Y Na
3 1 1
Cartesian
0.611 1.945 1.109 C
-1.883 -0.175 1.344 C
1.210 -1.254 1.533 C
0.000 0.000 0.000 Y
-0.063 0.516 3.985 Na

***

Most favorable structure: version x. The second most favorable one is 149 meV/atom above it.